# Mg2ZrMn, optimized geometry, DFT PBEsol
data_Mg2ZrMn
_symmetry_space_group_name_H-M 'F m -3 m'
_symmetry_Int_Tables_number 225
_symmetry_space_group_name_Hall '-F 4 2 3'
_cell_length_a 6.690
_cell_length_b 6.690
_cell_length_c 6.690
_cell_angle_alpha 90.00
_cell_angle_beta 90.00
_cell_angle_gamma 90.00
loop_
_atom_site_label
_atom_site_fract_x
_atom_site_fract_y
_atom_site_fract_z
Mg1 0.250 0.250 0.250
Zr1 0.000 0.000 0.000
Mn1 0.000 0.000 0.500
# - D(E_F): 8.9 states/eV/cell
# - M_tot: 0.755 μB/atom
# - Formation energy: 0.33 eV per atom
# - Raw total energy: -5.240 eV per atom